(1)
A plane-wave DFT calculation with PBE was carried out for an optimized crystal structure of Zr5Be3.

It has space group P6_3/mcm (No. 193), with a = 7.9462 Å, b = 7.9462 Å, c = 5.2610 Å, α = 90.00°, β = 90.00° and γ = 120.00°. The asymmetric unit holds Zr at (0.0000, 0.2441, 0.2500), Zr at (0.3333, 0.6667, 0.0000) and Be at (0.0000, 0.3930, 0.7500).

As for the density of states at the Fermi level: 21.4 states/eV/cell. For the energy, the calculation gives -6.7353 eV per atom. The calculation puts the size of the total moment at 0.0000 μB/atom. The formation energy is 0.005 eV per atom.

---

(2)
A plane-wave DFT calculation with PBE was carried out for an optimized crystal structure of PmAuSe2O8.

It has space group P-3m1 (No. 164), with a = 5.5564 Å, b = 5.5564 Å, c = 7.5807 Å, α = 90.00°, β = 90.00° and γ = 120.00°. The asymmetric unit holds Pm at (0.0000, 0.0000, 0.0000), Au at (0.0000, 0.0000, 0.5000), Se at (0.3333, 0.6667, 0.1812), O at (0.1662, 0.3324, 0.2478) and O at (0.3333, 0.6667, 0.9606).

The uncorrected formation energy comes out at -1022.3 meV/atom. For the energy, the calculation gives -5.5775 eV per atom. The calculation puts the size of the total moment at 0.0000 μB/atom.